Record 1
Entry from Alexandria: crystalline Ac2In5Pd3 at its relaxed geometry (GGA-PBE).

Properties
E above lowest polymorph: 0.9 kJ/mol of atoms
crystal system: orthorhombic
symmetry: Ibam (72)

Cell and atoms, written as POSCAR:
```
Ac2In5Pd3
1.0
6.300 0.000 0.000
3.150 8.946 0.193
3.150 1.570 8.809
Ac In Pd
4 10 6
Cartesian
3.150 5.319 1.299
6.300 2.104 5.055
9.450 5.198 7.703
6.300 8.413 3.947
6.300 3.709 8.093
9.450 8.568 2.416
6.300 6.807 0.910
3.150 1.949 6.586
7.875 8.319 7.121
4.725 2.198 1.881
7.875 5.258 4.501
4.725 5.258 4.501
1.575 2.198 1.881
11.025 8.319 7.121
6.300 6.048 6.677
9.450 7.530 4.946
6.300 4.468 2.325
3.150 2.987 4.056
1.575 0.000 0.000
4.725 0.000 0.000
```

=====

Record 2
Entry from Alexandria: crystalline Ac2InPd6 at its relaxed geometry (GGA-PBE).

Properties
E above lowest polymorph: 1.2 kJ/mol of atoms
crystal system: monoclinic
symmetry: C2/m (12)

Cell and atoms, written as POSCAR:
```
Ac2InPd6
1.0
5.966 0.000 0.000
-2.983 5.029 1.148
0.000 0.103 6.421
Ac In Pd
2 1 6
Cartesian
2.983 1.410 1.502
0.000 3.722 6.066
0.000 0.000 0.000
4.382 1.459 4.681
2.983 3.877 5.209
1.584 1.459 4.681
-1.399 3.673 2.888
0.000 1.255 2.359
1.399 3.673 2.888
```

=====

Record 3
Entry from Alexandria: crystalline AcIn4Pd4 at its relaxed geometry (GGA-PBE).

Properties
E above lowest polymorph: 2.6 kJ/mol of atoms
crystal system: tetragonal
symmetry: P4_2/nmc (137)

Cell and atoms, written as POSCAR:
```
AcIn4Pd4
1.0
-6.209 -1.381 0.241
1.395 -6.195 0.446
0.211 0.745 9.694
Ac In Pd
2 8 8
Cartesian
0.000 0.000 0.000
-2.302 -3.415 5.190
-1.851 -4.899 8.288
-2.623 -1.475 8.041
-4.082 -4.026 2.283
-0.650 -3.262 2.150
-1.651 -0.153 3.041
-4.428 -0.771 3.149
0.532 -1.196 6.843
1.155 -3.966 7.042
-0.453 -2.718 9.097
-3.977 -3.502 9.234
-1.992 -5.479 1.342
-2.784 -1.963 1.089
1.086 -4.131 4.294
0.482 -1.452 4.102
-1.638 0.048 5.787
-4.323 -0.550 5.892
```

=====

Record 4
Entry from Alexandria: crystalline Ac2In5Pd3 at its relaxed geometry (GGA-PBE).

Properties
E above lowest polymorph: 0.0 kJ/mol of atoms
crystal system: orthorhombic
symmetry: Cmc2_1 (36)

Cell and atoms, written as POSCAR:
```
Ac2In5Pd3
1.0
-3.698 -0.217 -2.860
-4.254 -2.724 5.708
-1.624 12.915 4.952
Ac In Pd
4 10 6
Cartesian
-6.623 10.050 7.803
-4.226 2.566 5.271
-4.985 7.642 2.038
-3.213 -0.242 0.344
-4.503 9.186 5.127
-4.156 6.069 4.914
-3.316 5.253 0.061
-1.940 2.584 2.314
-5.857 5.092 7.188
-5.435 11.030 2.364
-4.965 4.085 2.283
-7.622 7.400 5.467
-2.977 -0.310 3.874
-6.374 -0.045 4.417
-6.693 4.923 4.453
-4.839 1.272 2.333
-4.559 -1.485 6.008
-2.431 5.341 2.739
-7.092 10.132 4.574
-2.813 9.934 2.886
```

=====

Record 5
Entry from Alexandria: crystalline Ac2In3Pd2 at its relaxed geometry (GGA-PBE).

Properties
E above lowest polymorph: 0.0 kJ/mol of atoms
crystal system: monoclinic
symmetry: C2/m (12)

Cell and atoms, written as POSCAR:
```
Ac2In3Pd2
1.0
4.352 0.000 0.000
-2.176 5.621 0.179
0.000 -1.057 7.633
Ac In Pd
2 3 2
Cartesian
2.176 1.033 2.674
0.000 3.531 5.138
0.000 3.412 1.141
0.000 0.000 0.000
2.176 1.152 6.671
0.000 0.304 4.982
2.176 4.261 2.831
```

=====

Record 6
Entry from Alexandria: crystalline AcIn9Pd2 at its relaxed geometry (GGA-PBE).

Properties
crystal system: tetragonal
symmetry: I4_1/amd (141)

Cell and atoms, written as POSCAR:
```
AcIn9Pd2
1.0
2.770 6.339 4.512
4.975 -2.249 7.663
8.495 3.317 -2.316
Ac In Pd
2 18 4
Cartesian
1.385 3.169 2.256
7.427 2.119 3.802
8.812 5.288 6.058
0.000 0.000 0.000
13.183 6.518 10.034
4.745 4.753 2.577
7.653 5.779 3.129
8.891 2.323 7.225
11.010 4.818 8.319
4.926 1.893 1.046
7.507 -0.569 6.700
7.044 4.112 0.409
11.869 6.177 5.883
4.067 0.535 3.481
9.655 2.826 0.612
4.896 0.717 6.496
14.042 7.877 7.598
3.886 3.395 5.012
6.280 3.609 7.021
10.264 4.493 3.333
10.039 7.472 4.127
8.279 4.689 9.117
5.791 5.813 5.285
11.141 3.178 5.702
```

=====

Record 7
Entry from Alexandria: crystalline AcInPd4 at its relaxed geometry (GGA-PBE).

Properties
E above lowest polymorph: 0.0 kJ/mol of atoms
crystal system: cubic
symmetry: F-43m (216)

Cell and atoms, written as POSCAR:
```
AcInPd4
1.0
5.539 0.000 0.000
2.770 4.797 0.000
2.770 1.599 4.523
Ac Pd In
1 4 1
Cartesian
2.770 1.599 1.131
5.539 3.198 0.553
5.539 1.587 2.831
6.934 4.004 2.831
4.144 4.004 2.831
0.000 0.000 0.000
```

=====

Record 8
Entry from Alexandria: crystalline Ac3In2Pd7 at its relaxed geometry (GGA-PBE).

Properties
E above lowest polymorph: 0.0 kJ/mol of atoms
crystal system: monoclinic
symmetry: P2/m (10)

Cell and atoms, written as POSCAR:
```
Ac3In2Pd7
1.0
4.307 0.000 0.000
0.000 4.405 -0.003
0.000 -2.200 14.617
Ac In Pd
3 2 7
Cartesian
2.153 2.203 -0.002
0.000 0.007 5.443
0.000 2.199 9.171
2.153 2.206 3.758
2.153 -0.001 10.855
2.153 2.204 6.477
2.153 0.001 8.136
0.000 2.201 2.156
0.000 0.000 0.000
0.000 0.004 12.457
2.153 2.203 12.434
2.153 0.003 2.180
```

=====

Record 9
Entry from Alexandria: crystalline AcIn4Pd6 at its relaxed geometry (GGA-PBE).

Properties
crystal system: hexagonal
symmetry: P-6m2 (187)

Cell and atoms, written as POSCAR:
```
AcIn4Pd6
1.0
4.312 0.000 0.000
0.000 7.741 0.000
0.000 -3.871 6.704
Ac In Pd
1 4 6
Cartesian
0.000 0.000 0.000
2.156 3.871 4.020
2.156 2.324 1.342
2.156 5.417 1.342
0.000 0.000 4.469
0.000 3.871 0.480
2.156 1.510 5.341
0.000 2.351 3.112
0.000 5.390 3.112
2.156 -1.510 5.341
2.156 0.000 2.726
```

=====

Record 10
Entry from Alexandria: crystalline Ac6In2Pd at its relaxed geometry (GGA-PBE).

Properties
E above lowest polymorph: 5.9 kJ/mol of atoms
crystal system: monoclinic
symmetry: P2_1/c (14)

Cell and atoms, written as POSCAR:
```
Ac6In2Pd
1.0
-2.632 6.318 -1.342
-1.596 -2.534 -8.801
-9.815 -3.336 2.741
Ac In Pd
12 4 2
Cartesian
-6.186 2.361 -9.064
-8.862 1.960 -5.622
-12.625 0.671 -4.534
-7.403 1.646 -0.852
-11.177 0.339 0.175
-4.962 1.809 -4.217
-7.857 -1.914 1.662
-5.181 -1.513 -1.780
-1.418 -0.224 -2.868
-6.640 -1.199 -6.550
-2.866 0.108 -7.577
-9.081 -1.362 -3.185
-10.391 2.384 -2.518
-10.285 -1.097 -6.445
-3.758 1.544 -0.957
-3.652 -1.937 -4.884
-2.114 1.892 -5.071
-4.907 -1.668 1.370
```

=====

Record 11
Entry from Alexandria: crystalline Ac3InPd at its relaxed geometry (GGA-PBE).

Properties
E above lowest polymorph: 9.3 kJ/mol of atoms
crystal system: triclinic
symmetry: P1 (1)

Cell and atoms, written as POSCAR:
```
Ac3InPd
1.0
-5.758 -0.636 -0.842
1.044 -7.664 -1.344
-1.029 -0.898 7.779
Ac In Pd
6 2 2
Cartesian
-2.765 -8.577 3.329
-2.796 -3.016 -0.728
-0.457 -1.729 2.717
-0.450 -5.701 5.689
-3.089 -4.644 2.581
-2.378 -7.189 -0.368
0.122 -6.117 2.085
-1.063 -1.838 6.941
-3.286 -6.185 5.097
0.052 -3.730 0.674
```

=====

Record 12
Entry from Alexandria: crystalline AcInPd4 at its relaxed geometry (GGA-PBE).

Properties
E above lowest polymorph: 6.7 kJ/mol of atoms
crystal system: orthorhombic
symmetry: Pmma (51)

Cell and atoms, written as POSCAR:
```
AcInPd4
1.0
-1.115 3.922 -0.935
-3.833 0.415 6.315
6.520 2.753 3.776
Ac In Pd
2 2 8
Cartesian
2.322 2.343 7.062
0.365 0.825 3.028
4.010 2.160 4.282
-1.323 1.008 5.809
3.260 1.376 1.888
0.000 0.000 0.000
0.607 4.430 8.503
0.965 2.661 0.654
-2.997 2.352 4.083
4.569 4.738 5.074
-0.214 3.527 5.694
1.786 3.564 3.462
```

=====

Record 13
Entry from Alexandria: crystalline Ac6InPd3 at its relaxed geometry (GGA-PBE).

Properties
crystal system: monoclinic
symmetry: P2_1/m (11)

Cell and atoms, written as POSCAR:
```
Ac6InPd3
1.0
4.417 0.000 0.000
0.000 12.276 -4.273
0.000 0.048 13.274
Ac In Pd
12 2 6
Cartesian
3.313 5.918 6.123
1.104 6.407 2.877
3.313 11.295 -2.765
1.104 1.029 11.765
3.313 4.699 -1.007
1.104 7.626 10.008
3.313 8.741 0.401
1.104 3.583 8.600
3.313 1.684 5.664
1.104 10.640 3.337
3.313 9.904 6.564
1.104 2.420 2.436
3.313 0.747 9.012
1.104 11.577 -0.011
3.313 5.658 9.209
1.104 6.666 -0.209
3.313 8.321 3.688
1.104 4.003 5.313
3.313 1.896 0.449
1.104 10.428 8.552
```

=====

Record 14
Entry from Alexandria: crystalline Ac4In3Pd at its relaxed geometry (GGA-PBE).

Properties
crystal system: tetragonal
symmetry: P4/mmm (123)

Cell and atoms, written as POSCAR:
```
Ac4In3Pd
1.0
3.886 0.000 0.000
0.000 3.886 0.000
0.000 0.000 17.314
Ac Pd In
4 1 3
Cartesian
0.000 0.000 15.477
0.000 0.000 1.836
0.000 0.000 6.365
0.000 0.000 10.949
1.943 1.943 0.000
1.943 1.943 4.128
1.943 1.943 8.657
1.943 1.943 13.186
```

=====

Record 15
Entry from Alexandria: crystalline AcInPd3 at its relaxed geometry (GGA-PBE).

Properties
E above lowest polymorph: 0.0 kJ/mol of atoms
crystal system: tetragonal
symmetry: I4mm (107)

Cell and atoms, written as POSCAR:
```
AcInPd3
1.0
4.332 0.000 0.000
0.000 4.332 0.000
-2.166 -2.166 6.024
Ac In Pd
1 1 3
Cartesian
2.166 2.166 5.754
2.166 2.166 1.710
0.000 2.166 3.314
2.166 0.000 3.314
0.000 0.000 5.066
```

=====

Record 16
Entry from Alexandria: crystalline AcIn3Pd2 at its relaxed geometry (GGA-PBE).

Properties
E above lowest polymorph: 3.8 kJ/mol of atoms
crystal system: monoclinic
symmetry: C2/m (12)

Cell and atoms, written as POSCAR:
```
AcIn3Pd2
1.0
4.480 0.000 0.000
-2.240 8.456 -0.177
0.000 -4.009 7.861
Ac In Pd
2 6 4
Cartesian
2.240 2.589 6.918
0.000 1.859 0.767
0.000 3.290 4.166
2.240 5.576 4.898
2.240 -0.757 6.188
0.000 5.205 1.496
0.000 -1.128 2.787
2.240 1.157 3.518
0.000 4.960 6.399
2.240 -0.512 1.285
2.240 3.903 2.537
0.000 0.545 5.147
```

=====

Record 17
Entry from Alexandria: crystalline AcIn3Pd4 at its relaxed geometry (GGA-PBE).

Properties
crystal system: trigonal
symmetry: R-3m (166)

Cell and atoms, written as POSCAR:
```
AcIn3Pd4
1.0
4.424 0.000 1.306
2.019 3.936 1.306
-0.431 -0.263 9.607
Ac Pd In
1 4 3
Cartesian
0.000 0.000 0.000
5.409 3.304 6.114
2.239 1.368 8.708
0.603 0.368 6.104
3.773 2.305 3.511
1.428 0.872 3.310
4.584 2.800 8.909
3.006 1.836 6.109
```

=====

Record 18
Entry from Alexandria: crystalline Ac4In12Pd at its relaxed geometry (GGA-PBE).

Properties
crystal system: cubic
symmetry: Im-3m (229)

Cell and atoms, written as POSCAR:
```
Ac4In12Pd
1.0
-0.924 8.192 2.189
-4.755 -1.657 -6.884
-2.518 -4.970 6.458
Ac In Pd
4 12 1
Cartesian
-1.259 -2.485 3.229
-0.462 4.096 1.095
-4.099 0.782 0.882
-2.378 -0.829 -3.442
-2.075 -1.891 -0.121
-5.198 -4.737 -0.304
-4.059 4.670 -3.356
-1.620 1.864 -1.340
-0.982 0.919 2.467
-2.460 2.303 6.180
-3.539 -0.046 4.217
-4.658 1.611 -2.454
-3.141 3.245 3.150
-5.057 -1.680 -1.387
-3.700 4.073 -0.186
-4.497 -2.508 1.949
0.000 0.000 0.000
```

=====

Record 19
Entry from Alexandria: crystalline Ac3In3Pd at its relaxed geometry (GGA-PBE).

Properties
crystal system: monoclinic
symmetry: C2/m (12)

Cell and atoms, written as POSCAR:
```
Ac3In3Pd
1.0
-3.053 -2.794 0.598
2.431 -6.122 -1.568
4.789 -5.059 15.446
Ac In Pd
6 6 2
Cartesian
2.243 -6.742 9.200
1.924 -7.233 5.276
0.882 -3.326 3.586
3.285 -10.649 10.890
4.090 -7.744 13.955
0.077 -6.231 0.521
2.094 -10.061 7.554
2.073 -3.914 6.922
6.239 -10.314 12.920
-2.072 -3.661 1.555
-0.043 -8.726 2.877
4.210 -5.249 11.599
-0.688 -4.189 6.164
4.855 -9.786 8.312
```

=====

no.,volume (Å³ per atom),E_form (kJ/mol of formula units)
1,24.73,-593
2,21.33,-623
3,21.89,-447
4,24.49,-602
5,26.80,-405
6,24.60,-274
7,20.03,-372
8,23.11,-769
9,20.35,-591
10,38.62,-269
11,36.19,-190
12,20.69,-331
13,36.04,-502
14,32.68,-379
15,22.60,-314
16,24.55,-323
17,21.29,-468
18,28.10,-735
19,32.07,-357